Run w
# Li2FeP2O7 GGA+U relaxed
# Fermi-level density of states	0.00	states/eV/f.u.
# crystal system	monoclinic
data_Li2FeP2O7
_symmetry_space_group_name_H-M 'C 1 2/c 1'
_symmetry_Int_Tables_number 15
_cell_length_a 14.843
_cell_length_b 5.907
_cell_length_c 7.745
_cell_angle_alpha 90.00
_cell_angle_beta 121.35
_cell_angle_gamma 90.00
loop_
_symmetry_equiv_pos_as_xyz
'x,y,z'
'-x,-y,-z'
'-x,y,-z+1/2'
'x,-y,z+1/2'
'x+1/2,y+1/2,z'
'-x+1/2,-y+1/2,-z'
'-x+1/2,y+1/2,-z+1/2'
'x+1/2,-y+1/2,z+1/2'
loop_
_atom_site_label
_atom_site_fract_x
_atom_site_fract_y
_atom_site_fract_z
_atom_site_occupancy
Li1 0.250 0.249 0.180 1
Fe1 0.000 0.500 0.000 1
P1 0.114 0.141 0.364 1
O1 0.000 0.012 0.250 1
O2 0.116 0.288 0.532 1
O3 0.116 0.289 0.201 1
O4 0.196 0.043 0.946 1

***

Run x
# Li2FeP2O7 GGA+U relaxed
# Fermi-level density of states	0.00	states/eV/f.u.
# crystal system	orthorhombic
data_Li2FeP2O7
_symmetry_space_group_name_H-M 'C m m 2'
_symmetry_Int_Tables_number 35
_cell_length_a 10.941
_cell_length_b 11.150
_cell_length_c 5.068
_cell_angle_alpha 90.00
_cell_angle_beta 90.00
_cell_angle_gamma 90.00
loop_
_symmetry_equiv_pos_as_xyz
'x,y,z'
'-x,-y,z'
'-x,y,z'
'x,-y,z'
'x+1/2,y+1/2,z'
'-x+1/2,-y+1/2,z'
'-x+1/2,y+1/2,z'
'x+1/2,-y+1/2,z'
loop_
_atom_site_label
_atom_site_fract_x
_atom_site_fract_y
_atom_site_fract_z
_atom_site_occupancy
Li1 0.000 0.226 0.000 1
Li2 0.224 0.500 0.070 1
Fe1 0.250 0.250 0.537 1
P1 0.000 0.360 0.433 1
P2 0.141 0.000 0.633 1
O1 0.000 0.000 0.728 1
O2 0.000 0.345 0.728 1
O3 0.000 0.500 0.348 1
O4 0.114 0.310 0.291 1
O5 0.152 0.000 0.337 1
O6 0.196 0.112 0.772 1

***

From most stable to least stable, the computed energies give run w, run x.

***

Run w
# LiFeP3O9 GGA+U relaxed
# Fermi-level density of states	0.00	states/eV/f.u.
# crystal system	monoclinic
data_LiFeP3O9
_symmetry_space_group_name_H-M 'C 1 c 1'
_symmetry_Int_Tables_number 9
_cell_length_a 11.272
_cell_length_b 6.797
_cell_length_c 9.832
_cell_angle_alpha 90.00
_cell_angle_beta 90.12
_cell_angle_gamma 90.00
loop_
_symmetry_equiv_pos_as_xyz
'x,y,z'
'x,-y,z+1/2'
'x+1/2,y+1/2,z'
'x+1/2,-y+1/2,z+1/2'
loop_
_atom_site_label
_atom_site_fract_x
_atom_site_fract_y
_atom_site_fract_z
_atom_site_occupancy
Li1 0.000 0.154 0.000 1
Fe1 0.181 0.497 0.535 1
P1 0.222 0.155 0.790 1
P2 0.322 0.252 0.284 1
P3 0.483 0.094 0.779 1
O1 0.030 0.341 0.142 1
O2 0.062 0.382 0.399 1
O3 0.158 0.217 0.917 1
O4 0.181 0.229 0.655 1
O5 0.223 0.083 0.288 1
O6 0.303 0.379 0.161 1
O7 0.333 0.353 0.420 1
O8 0.362 0.207 0.813 1
O9 0.443 0.132 0.262 1

***

Run x
# LiFeP3O9 GGA+U relaxed
# Fermi-level density of states	0.00	states/eV/f.u.
# crystal system	triclinic
data_LiFeP3O9
_symmetry_space_group_name_H-M 'P -1'
_symmetry_Int_Tables_number 2
_cell_length_a 6.566
_cell_length_b 7.079
_cell_length_c 7.628
_cell_angle_alpha 74.63
_cell_angle_beta 86.80
_cell_angle_gamma 89.22
loop_
_symmetry_equiv_pos_as_xyz
'x,y,z'
'-x,-y,-z'
loop_
_atom_site_label
_atom_site_fract_x
_atom_site_fract_y
_atom_site_fract_z
_atom_site_occupancy
Li1 0.172 0.016 0.138 1
Fe1 0.142 0.582 0.144 1
P1 0.140 0.254 0.560 1
P2 0.343 0.898 0.777 1
P3 0.347 0.480 0.779 1
O1 0.043 0.775 0.307 1
O2 0.111 0.319 0.360 1
O3 0.171 0.425 0.924 1
O4 0.172 0.871 0.926 1
O5 0.268 0.054 0.596 1
O6 0.296 0.409 0.605 1
O7 0.348 0.711 0.692 1
O8 0.448 0.592 0.162 1
O9 0.449 0.052 0.186 1

***

From most stable to least stable, the computed energies give run x, run w.

***

Run w
# LiFeP3O9 GGA+U relaxed
# Fermi-level density of states	0.00	states/eV/f.u.
# crystal system	triclinic
data_LiFeP3O9
_symmetry_space_group_name_H-M 'P -1'
_symmetry_Int_Tables_number 2
_cell_length_a 6.555
_cell_length_b 6.910
_cell_length_c 7.413
_cell_angle_alpha 102.51
_cell_angle_beta 92.73
_cell_angle_gamma 90.19
loop_
_symmetry_equiv_pos_as_xyz
'x,y,z'
'-x,-y,-z'
loop_
_atom_site_label
_atom_site_fract_x
_atom_site_fract_y
_atom_site_fract_z
_atom_site_occupancy
Li1 0.145 0.079 0.328 1
Fe1 0.153 0.592 0.357 1
P1 0.140 0.728 0.949 1
P2 0.337 0.388 0.720 1
P3 0.347 0.950 0.706 1
O1 0.049 0.302 0.179 1
O2 0.119 0.783 0.155 1
O3 0.165 0.395 0.574 1
O4 0.174 0.882 0.562 1
O5 0.275 0.530 0.912 1
O6 0.289 0.891 0.898 1
O7 0.328 0.185 0.784 1
O8 0.440 0.106 0.337 1
O9 0.454 0.558 0.321 1

***

Run x
# LiFeP3O9 GGA+U relaxed
# Fermi-level density of states	0.00	states/eV/f.u.
# crystal system	triclinic
data_LiFeP3O9
_symmetry_space_group_name_H-M 'P -1'
_symmetry_Int_Tables_number 2
_cell_length_a 9.491
_cell_length_b 9.546
_cell_length_c 9.764
_cell_angle_alpha 109.46
_cell_angle_beta 104.74
_cell_angle_gamma 108.50
loop_
_symmetry_equiv_pos_as_xyz
'x,y,z'
'-x,-y,-z'
loop_
_atom_site_label
_atom_site_fract_x
_atom_site_fract_y
_atom_site_fract_z
_atom_site_occupancy
Li1 0.144 0.352 0.169 1
Li2 0.151 0.569 0.995 1
Fe1 0.247 0.733 0.773 1
Fe2 0.399 0.199 0.289 1
P1 0.008 0.650 0.393 1
P2 0.066 0.835 0.204 1
P3 0.196 0.073 0.912 1
P4 0.315 0.415 0.581 1
P5 0.442 0.709 0.334 1
P6 0.496 0.887 0.143 1
O1 0.001 0.675 0.055 1
O2 0.056 0.513 0.753 1
O3 0.077 0.108 0.794 1
O4 0.092 0.802 0.358 1
O5 0.125 0.679 0.545 1
O6 0.136 0.890 0.860 1
O7 0.142 0.317 0.580 1
O8 0.218 0.975 0.241 1
O9 0.233 0.185 0.082 1
O10 0.284 0.576 0.200 1
O11 0.304 0.360 0.414 1
O12 0.344 0.751 0.002 1
O13 0.354 0.146 0.878 1
O14 0.382 0.599 0.686 1
O15 0.415 0.346 0.677 1
O16 0.453 0.772 0.499 1
O17 0.472 0.937 0.822 1
O18 0.499 0.132 0.701 1

***

Run y
# LiFeP3O9 GGA+U relaxed
# Fermi-level density of states	0.00	states/eV/f.u.
# crystal system	orthorhombic
data_LiFeP3O9
_symmetry_space_group_name_H-M 'P n m a'
_symmetry_Int_Tables_number 62
_cell_length_a 9.277
_cell_length_b 7.321
_cell_length_c 12.425
_cell_angle_alpha 90.00
_cell_angle_beta 90.00
_cell_angle_gamma 90.00
loop_
_symmetry_equiv_pos_as_xyz
'x,y,z'
'-x,-y,-z'
'-x+1/2,-y,z+1/2'
'x+1/2,y,-z+1/2'
'x+1/2,-y+1/2,-z+1/2'
'-x+1/2,y+1/2,z+1/2'
'-x,y+1/2,-z'
'x,-y+1/2,z'
loop_
_atom_site_label
_atom_site_fract_x
_atom_site_fract_y
_atom_site_fract_z
_atom_site_occupancy
Li1 0.055 0.250 0.019 1
Fe1 0.027 0.750 0.775 1
P1 0.200 0.250 0.455 1
P2 0.248 0.546 0.148 1
O1 0.093 0.250 0.367 1
O2 0.112 0.060 0.125 1
O3 0.140 0.750 0.930 1
O4 0.148 0.525 0.729 1
O5 0.168 0.079 0.535 1
O6 0.197 0.750 0.182 1

***

From most stable to least stable, the computed energies give run x, run w, run y.

***

Run w
# LiFeP3O9 GGA+U relaxed
# Fermi-level density of states	0.00	states/eV/f.u.
# crystal system	orthorhombic
data_LiFeP3O9
_symmetry_space_group_name_H-M 'P 21 21 21'
_symmetry_Int_Tables_number 19
_cell_length_a 8.538
_cell_length_b 8.635
_cell_length_c 8.857
_cell_angle_alpha 90.00
_cell_angle_beta 90.00
_cell_angle_gamma 90.00
loop_
_symmetry_equiv_pos_as_xyz
'x,y,z'
'-x+1/2,-y,z+1/2'
'x+1/2,-y+1/2,-z'
'-x,y+1/2,-z+1/2'
loop_
_atom_site_label
_atom_site_fract_x
_atom_site_fract_y
_atom_site_fract_z
_atom_site_occupancy
Li1 0.153 0.137 0.114 1
Fe1 0.129 0.857 0.341 1
P1 0.027 0.323 0.818 1
P2 0.189 0.478 0.309 1
P3 0.201 0.809 0.938 1
O1 0.041 0.775 0.845 1
O2 0.093 0.613 0.363 1
O3 0.105 0.877 0.583 1
O4 0.124 0.383 0.181 1
O5 0.129 0.195 0.879 1
O6 0.138 0.465 0.764 1
O7 0.158 0.862 0.093 1
O8 0.191 0.092 0.343 1
O9 0.227 0.364 0.450 1

***

Run x
# LiFeP3O9 GGA+U relaxed
# Fermi-level density of states	0.00	states/eV/f.u.
# crystal system	triclinic
data_LiFeP3O9
_symmetry_space_group_name_H-M 'P 1'
_symmetry_Int_Tables_number 1
_cell_length_a 6.407
_cell_length_b 6.444
_cell_length_c 6.450
_cell_angle_alpha 107.12
_cell_angle_beta 107.87
_cell_angle_gamma 106.95
loop_
_symmetry_equiv_pos_as_xyz
'x,y,z'
loop_
_atom_site_label
_atom_site_fract_x
_atom_site_fract_y
_atom_site_fract_z
_atom_site_occupancy
Li1 0.000 0.000 0.000 1
Fe1 0.367 0.364 0.368 1
P1 0.299 0.859 0.436 1
P2 0.429 0.296 0.858 1
P3 0.860 0.434 0.295 1
O1 0.058 0.706 0.454 1
O2 0.224 0.973 0.270 1
O3 0.269 0.226 0.977 1
O4 0.376 0.428 0.707 1
O5 0.438 0.713 0.394 1
O6 0.453 0.059 0.709 1
O7 0.705 0.455 0.056 1
O8 0.709 0.381 0.426 1
O9 0.978 0.272 0.224 1

***

From most stable to least stable, the computed energies give run w, run x.